(1)
This record from the Alexandria database describes an optimized crystal structure of MoAs3Br. The functional is PBE. Values from VASP.

Output
* space-group type: Pm-3m
* crystal system: cubic
* DOS(E_F): 2.11 states/eV/cell

Quantum ESPRESSO input file:
```
&SYSTEM
  ibrav = 0, nat = 5, ntyp = 3
/
ATOMIC_SPECIES
As 74.92 As.upf
Mo 95.94 Mo.upf
Br 79.90 Br.upf
CELL_PARAMETERS angstrom
-3.5427 -0.7469 3.4027
3.1795 -2.6767 2.7227
1.4239 4.1187 2.3865
ATOMIC_POSITIONS crystal
As 0.5000 0.0000 0.0000
As 0.0000 0.5000 0.0000
As 0.0000 0.0000 0.5000
Mo 0.5000 0.5000 0.5000
Br 0.0000 0.0000 0.0000
```

---

(2)
This record from the Alexandria database describes an optimized crystal structure of MoAsBr3. The functional is PBE. Values from VASP.

Output
* space-group type: Pm-3m
* crystal system: cubic
* DOS(E_F): 3.27 states/eV/cell

Quantum ESPRESSO input file:
```
&SYSTEM
  ibrav = 0, nat = 5, ntyp = 3
/
ATOMIC_SPECIES
As 74.92 As.upf
Br 79.90 Br.upf
Mo 95.94 Mo.upf
CELL_PARAMETERS angstrom
-3.0099 -3.7531 -2.2464
3.8571 -3.5634 0.7853
-2.0627 -1.1867 4.7464
ATOMIC_POSITIONS crystal
As 0.5000 0.5000 0.5000
Br 0.0000 0.5000 0.0000
Br 0.0000 0.0000 0.5000
Br 0.5000 0.0000 0.0000
Mo 0.0000 0.0000 0.0000
```

---

(3)
This record from the Alexandria database describes an optimized crystal structure of MoAs2Br. The functional is PBE. Values from VASP.

Output
* space-group type: F-43m
* crystal system: cubic
* DOS(E_F): 1.02 states/eV/cell

Quantum ESPRESSO input file:
```
&SYSTEM
  ibrav = 0, nat = 4, ntyp = 3
/
ATOMIC_SPECIES
As 74.92 As.upf
Mo 95.94 Mo.upf
Br 79.90 Br.upf
CELL_PARAMETERS angstrom
-2.6674 2.5439 2.8358
-3.0204 -3.5211 0.3287
4.4880 -0.6796 1.0121
ATOMIC_POSITIONS crystal
As 0.2500 0.7500 0.5000
As 0.0000 0.0000 0.0000
Mo 0.7500 0.2500 0.5000
Br 0.5000 0.5000 0.0000
```

---

In the order shown, the computed ΔE to the lowest computed polymorph values come out to 1.328, 0.000, 0.650 eV/atom.
In the order shown, the computed E_form (uncorrected) values come out to 1.6027, 0.4288, 0.6117 eV/atom.
In the order shown, the computed calculated volume values come out to 122.7, 149.7, 71.1 Å³/cell.